A relaxed structure of AcCrSe2O8, computed with GGA+U.

Geometry as POSCAR:
```
AcCrSe2O8
1.0
2.568 1.483 6.764
-2.568 1.483 6.764
0.000 -2.966 6.764
Ac Cr Se O
1 1 2 8
Cartesian
0.000 0.000 0.000
0.000 0.000 10.146
0.000 0.000 4.660
0.000 0.000 15.633
-1.607 0.092 8.959
-0.883 -1.345 11.333
0.000 0.000 6.368
0.724 -1.437 8.959
-0.724 1.437 11.333
0.000 0.000 13.924
0.883 1.345 8.959
1.607 -0.092 11.333
```

Properties
The magnetic moment is 0.083 μB per atom. As for the raw total energy: -6.26 eV per atom. The calculation puts the theoretical density at 6.07 g/cm3.